No. 1
# GGA-PBE NaZr3Zn, optimized geometry
# **N(E_F)**: 4.0 states/eV/f.u.
# **E_tot**: -4.21 eV per atom
# **Density**: 4.9 g/cm³
# **Energy above the lowest structure with this stoichiometry**: 0.664 eV per atom
data_NaZr3Zn
_cell_length_a 4.9689
_cell_length_b 4.9689
_cell_length_c 4.9689
_cell_angle_alpha 90.00
_cell_angle_beta 90.00
_cell_angle_gamma 90.00
_space_group_name_H-M_alt 'P m -3 m'
_space_group_IT_number 221
_space_group_name_Hall '-P 4 2 3'
loop_
_atom_site_label
_atom_site_fract_x
_atom_site_fract_y
_atom_site_fract_z
_atom_site_occupancy
Na1 0.0000 0.0000 0.0000 1
Zr1 0.0000 0.0000 0.5000 1
Zn1 0.5000 0.5000 0.5000 1

No. 2
# GGA-PBE NaZrZn2, optimized geometry
# **N(E_F)**: 3.6 states/eV/f.u.
# **E_tot**: -2.69 eV per atom
# **Density**: 4.7 g/cm³
# **Energy above the lowest structure with this stoichiometry**: 0.454 eV per atom
data_NaZrZn2
_cell_length_a 7.4341
_cell_length_b 7.4341
_cell_length_c 6.2988
_cell_angle_alpha 90.00
_cell_angle_beta 90.00
_cell_angle_gamma 90.00
_space_group_name_H-M_alt 'I -4 2 d'
_space_group_IT_number 122
_space_group_name_Hall 'I -4 2bw'
loop_
_atom_site_label
_atom_site_fract_x
_atom_site_fract_y
_atom_site_fract_z
_atom_site_occupancy
Na1 0.0000 0.0000 0.0000 1
Zr1 0.0000 0.0000 0.5000 1
Zn1 0.2480 0.2500 0.6250 1

No. 3
# GGA-PBE NaZr3Zn, optimized geometry
# **N(E_F)**: 7.6 states/eV/f.u.
# **E_tot**: -4.88 eV per atom
# **Density**: 4.5 g/cm³
# **Energy above the lowest structure with this stoichiometry**: 0.000 eV per atom
data_NaZr3Zn
_cell_length_a 5.1117
_cell_length_b 5.1117
_cell_length_c 5.1117
_cell_angle_alpha 90.00
_cell_angle_beta 90.00
_cell_angle_gamma 90.00
_space_group_name_H-M_alt 'P m -3 m'
_space_group_IT_number 221
_space_group_name_Hall '-P 4 2 3'
loop_
_atom_site_label
_atom_site_fract_x
_atom_site_fract_y
_atom_site_fract_z
_atom_site_occupancy
Na1 0.0000 0.0000 0.0000 1
Zr1 0.0000 0.5000 0.5000 1
Zn1 0.5000 0.5000 0.5000 1

No. 4
# GGA-PBE NaZrZn, optimized geometry
# **N(E_F)**: 1.7 states/eV/f.u.
# **E_tot**: -3.67 eV per atom
# **Density**: 4.3 g/cm³
# **Energy above the lowest structure with this stoichiometry**: 0.000 eV per atom
data_NaZrZn
_cell_length_a 3.1621
_cell_length_b 3.1621
_cell_length_c 13.9464
_cell_angle_alpha 90.00
_cell_angle_beta 90.00
_cell_angle_gamma 90.00
_space_group_name_H-M_alt 'P 4 m m'
_space_group_IT_number 99
loop_
_space_group_symop_operation_xyz
'x,y,z'
'-y,x,z'
'-x,-y,z'
'y,-x,z'
'-x,y,z'
'y,x,z'
'x,-y,z'
'-y,-x,z'
loop_
_atom_site_label
_atom_site_fract_x
_atom_site_fract_y
_atom_site_fract_z
_atom_site_occupancy
Na1 0.0000 0.0000 0.0000 1
Na2 0.5000 0.5000 0.2281 1
Zr1 0.0000 0.0000 0.4389 1
Zr2 0.5000 0.5000 0.5939 1
Zn1 0.0000 0.0000 0.7389 1
Zn2 0.5000 0.5000 0.8400 1

No. 5
# GGA-PBE NaZr4, optimized geometry
# **N(E_F)**: 11.4 states/eV/f.u.
# **E_tot**: -5.74 eV per atom
# **Density**: 5.1 g/cm³
data_NaZr4
_cell_length_a 5.0044
_cell_length_b 5.0044
_cell_length_c 5.0044
_cell_angle_alpha 90.00
_cell_angle_beta 90.00
_cell_angle_gamma 90.00
_space_group_name_H-M_alt 'P m -3 m'
_space_group_IT_number 221
_space_group_name_Hall '-P 4 2 3'
loop_
_atom_site_label
_atom_site_fract_x
_atom_site_fract_y
_atom_site_fract_z
_atom_site_occupancy
Na1 0.0000 0.0000 0.0000 1
Zr1 0.0000 0.0000 0.5000 1
Zr2 0.5000 0.5000 0.5000 1

No. 6
# GGA-PBE Na3Zr, optimized geometry
# **N(E_F)**: 5.4 states/eV/f.u.
# **E_tot**: -2.36 eV per atom
# **Density**: 2.2 g/cm³
# **Energy above the lowest structure with this stoichiometry**: 0.000 eV per atom
data_Na3Zr
_cell_length_a 7.0071
_cell_length_b 7.0071
_cell_length_c 5.6728
_cell_angle_alpha 90.00
_cell_angle_beta 90.00
_cell_angle_gamma 120.00
_space_group_name_H-M_alt 'P 63/m m c'
_space_group_IT_number 194
_space_group_name_Hall '-P 6c 2c'
loop_
_atom_site_label
_atom_site_fract_x
_atom_site_fract_y
_atom_site_fract_z
_atom_site_occupancy
Na1 0.1682 0.3364 0.2500 1
Zr1 0.3333 0.6667 0.7500 1

No. 7
# GGA-PBE Na3Zr, optimized geometry
# **N(E_F)**: 3.9 states/eV/f.u.
# **E_tot**: -2.35 eV per atom
# **Density**: 2.3 g/cm³
# **Energy above the lowest structure with this stoichiometry**: 0.006 eV per atom
data_Na3Zr
_cell_length_a 4.8853
_cell_length_b 4.8853
_cell_length_c 4.8853
_cell_angle_alpha 90.00
_cell_angle_beta 90.00
_cell_angle_gamma 90.00
_space_group_name_H-M_alt 'P m -3 m'
_space_group_IT_number 221
_space_group_name_Hall '-P 4 2 3'
loop_
_atom_site_label
_atom_site_fract_x
_atom_site_fract_y
_atom_site_fract_z
_atom_site_occupancy
Na1 0.0000 0.0000 0.5000 1
Zr1 0.5000 0.5000 0.5000 1

No. 8
# GGA-PBE Nd4Nb, optimized geometry
# **N(E_F)**: 10.3 states/eV/f.u.
# **E_tot**: -5.35 eV per atom
# **Density**: 6.2 g/cm³
data_Nd4Nb
_cell_length_a 5.6522
_cell_length_b 5.6522
_cell_length_c 5.6522
_cell_angle_alpha 90.00
_cell_angle_beta 90.00
_cell_angle_gamma 90.00
_space_group_name_H-M_alt 'P m -3 m'
_space_group_IT_number 221
_space_group_name_Hall '-P 4 2 3'
loop_
_atom_site_label
_atom_site_fract_x
_atom_site_fract_y
_atom_site_fract_z
_atom_site_occupancy
Nd1 0.0000 0.0000 0.0000 1
Nd2 0.0000 0.5000 0.5000 1
Nb1 0.5000 0.5000 0.5000 1

Values for DFT formation energy, eV/atom, ordered as above
1.4355 0.4182 0.7713 0.0421 1.3622 0.7673 0.7736 0.4812